Crystalline LiTa2Pb at its relaxed geometry, computed with PBE.

Summary:
Calculated volume = 19.1 Å³/atom
N(E_F) = 7.032 states/eV per cell
Energy = -0.2506 Ha/atom
Mass density = 12.49 Mg/m³
Formation enthalpy at 0 K = 513 meV/atom

Lattice parameters (Å, degrees): 5.570 9.316 2.951 90.00 90.00 90.00
Space group Cmmm (No. 65)
Symmetry-distinct sites (fractional):
Li 0.000 0.000 0.000 (multiplicity 2)
Ta 0.250 0.250 0.500 (multiplicity 4)
Pb 0.000 0.500 0.000 (multiplicity 2)